First-principles (PBE-GGA) data for crystalline KMgCuTe2 at its relaxed geometry, as listed in the Alexandria database.

## Properties
space group = P2/c (13)
ΔE_f (raw) = -0.669 eV/atom
total magnetization = 0.00 μB/f.u.
V = 333.4 Å³ per cell

a = 7.9654 Å, b = 5.9662 Å, c = 7.2982 Å
α = 90.00°, β = 106.01°, γ = 90.00°
With the nearest neighbours (Å) after each atom.
Positions (direct):
K 0.0000 0.2202 0.2500  6 Te 3.60-3.70
K 0.0000 0.7798 0.7500  6 Te 3.60-3.70
Mg 0.5000 0.4978 0.2500  4 Te 2.86
Mg 0.5000 0.5022 0.7500  4 Te 2.86
Cu 0.5000 0.0000 0.0000  2 Te 2.44
Cu 0.5000 0.0000 0.5000  2 Te 2.44
Te 0.2679 0.2814 0.9286  1 Cu 2.44
Te 0.2679 0.7186 0.4286  1 Cu 2.44
Te 0.7321 0.2814 0.5714  1 Cu 2.44
Te 0.7321 0.7186 0.0714  1 Cu 2.44

=====

First-principles (PBE-GGA) data for crystalline Al6Ga12Pb at its relaxed geometry, as listed in the Alexandria database.

## Properties
space group = R-3m (166)
DFT formation energy = 53 meV/atom
total magnetization = 0.00 μB/f.u.
V = 373.8 Å³ per cell

a = 7.7156 Å, b = 7.7156 Å, c = 7.7156 Å
α = 107.80°, β = 107.80°, γ = 107.80°
With the nearest neighbours (Å) after each atom.
Positions (direct):
Al 0.3013 0.3013 0.6779  8 Ga 2.68-2.86, 2 Al 2.97
Al 0.3013 0.6779 0.3013  8 Ga 2.68-2.86, 2 Al 2.97
Al 0.3221 0.6987 0.6987  8 Ga 2.68-2.86, 2 Al 2.97
Al 0.6779 0.3013 0.3013  8 Ga 2.68-2.86, 2 Al 2.97
Al 0.6987 0.3221 0.6987  8 Ga 2.68-2.86, 2 Al 2.97
Al 0.6987 0.6987 0.3221  8 Ga 2.68-2.86, 2 Al 2.97
Ga 0.0715 0.3558 0.3558  4 Al 2.68-2.81, 2 Ga 2.71, 1 Pb 2.99
Ga 0.1154 0.5000 0.8846  5 Ga 2.71-2.99, 4 Al 2.75-2.86
Ga 0.1154 0.8846 0.5000  5 Ga 2.71-2.99, 4 Al 2.75-2.86
Ga 0.3558 0.0715 0.3558  4 Al 2.68-2.81, 2 Ga 2.71, 1 Pb 2.99
Ga 0.3558 0.3558 0.0715  4 Al 2.68-2.81, 2 Ga 2.71, 1 Pb 2.99
Ga 0.5000 0.1154 0.8846  5 Ga 2.71-2.99, 4 Al 2.75-2.86
Ga 0.5000 0.8846 0.1154  5 Ga 2.71-2.99, 4 Al 2.75-2.86
Ga 0.6442 0.6442 0.9285  4 Al 2.68-2.81, 2 Ga 2.71, 1 Pb 2.99
Ga 0.6442 0.9285 0.6442  4 Al 2.68-2.81, 2 Ga 2.71, 1 Pb 2.99
Ga 0.8846 0.1154 0.5000  5 Ga 2.71-2.99, 4 Al 2.75-2.86
Ga 0.8846 0.5000 0.1154  5 Ga 2.71-2.99, 4 Al 2.75-2.86
Ga 0.9285 0.6442 0.6442  4 Al 2.68-2.81, 2 Ga 2.71, 1 Pb 2.99
Pb 0.0000 0.0000 0.0000  6 Ga 2.99

=====

First-principles (PBE-GGA) data for crystalline TbY5N6 at its relaxed geometry, as listed in the Alexandria database.

## Properties
space group = C2/m (12)
ΔE_f (raw) = -1.689 eV/atom
total magnetization = 0.00 μB/f.u.
V = 179.1 Å³ per cell

a = 6.0307 Å, b = 6.0307 Å, c = 6.0305 Å
α = 99.59°, β = 99.59°, γ = 120.00°
With the nearest neighbours (Å) after each atom.
Positions (direct):
Tb 0.0000 0.0000 0.0000  6 N 2.46
Y 0.1668 0.8332 0.5000  6 N 2.46
Y 0.3334 0.6666 0.0000  6 N 2.46
Y 0.5000 0.5000 0.5000  6 N 2.46
Y 0.6666 0.3334 0.0000  6 N 2.46
Y 0.8332 0.1668 0.5000  6 N 2.46
N 0.0834 0.4171 0.2502  5 Y 2.46, 1 Tb 2.46
N 0.2504 0.2504 0.7499  5 Y 2.46, 1 Tb 2.46
N 0.4171 0.0834 0.2502  5 Y 2.46, 1 Tb 2.46
N 0.5829 0.9166 0.7498  5 Y 2.46, 1 Tb 2.46
N 0.7496 0.7496 0.2501  5 Y 2.46, 1 Tb 2.46
N 0.9166 0.5829 0.7498  5 Y 2.46, 1 Tb 2.46

=====

First-principles (PBE-GGA) data for crystalline SrCaAsH at its relaxed geometry, as listed in the Alexandria database.

## Properties
ΔE to the lowest computed polymorph = 0.137 eV per atom
space group = F-43m (216)
total magnetization = 0.00 μB/f.u.
V = 91.9 Å³ per cell

a = 5.0649 Å, b = 5.0649 Å, c = 5.0649 Å
α = 60.00°, β = 60.00°, γ = 60.00°
With the nearest neighbours (Å) after each atom.
Positions (direct):
Sr 0.0000 0.0000 0.0000  4 H 3.10, 4 As 3.10
Ca 0.5000 0.5000 0.5000  4 As 3.10, 4 H 3.10
As 0.2500 0.2500 0.2500  4 Ca 3.10, 4 Sr 3.10
H 0.7500 0.7500 0.7500  4 Ca 3.10, 4 Sr 3.10

=====

First-principles (PBE-GGA) data for crystalline P3H2I at its relaxed geometry, as listed in the Alexandria database.

## Properties
space group = P-1 (2)
total magnetization = 0.00 μB/f.u.
V = 227.8 Å³ per cell

a = 3.8816 Å, b = 7.4009 Å, c = 8.6955 Å
α = 65.81°, β = 89.14°, γ = 89.70°
With the nearest neighbours (Å) after each atom.
Positions (direct):
P 0.0103 0.4082 0.1920  4 P 2.24-2.41
P 0.0395 0.7228 0.0009  1 H 1.44
P 0.4887 0.6512 0.6333  1 H 1.43
P 0.5113 0.3488 0.3667  1 H 1.43
P 0.9605 0.2772 0.9991  1 H 1.44
P 0.9897 0.5918 0.8080  4 P 2.24-2.41
H 0.3193 0.2321 0.9941  1 P 1.44
H 0.4902 0.8494 0.6219  1 P 1.43
H 0.5098 0.1506 0.3781  1 P 1.43
H 0.6807 0.7679 0.0059  1 P 1.44
I 0.0089 0.8256 0.3438  2 P 2.99-3.05, 4 H 3.14-3.21
I 0.9911 0.1744 0.6562  2 P 2.99-3.05, 4 H 3.14-3.21

=====

First-principles (PBE-GGA) data for crystalline Rb4Ac3NdS8 at its relaxed geometry, as listed in the Alexandria database.

## Properties
space group = R-3m (166)
ΔE_f (raw) = -1.859 eV/atom
total magnetization = 0.00 μB/f.u.
V = 519.9 Å³ per cell

a = 9.2564 Å, b = 9.2564 Å, c = 9.2564 Å
α = 56.84°, β = 56.84°, γ = 56.84°
With the nearest neighbours (Å) after each atom.
Positions (direct):
Rb 0.0000 0.0000 0.0000  6 S 3.50
Rb 0.0000 0.5000 0.5000  6 S 3.41-3.42
Rb 0.5000 0.0000 0.5000  6 S 3.41-3.42
Rb 0.5000 0.5000 0.0000  6 S 3.41-3.42
Ac 0.0000 0.0000 0.5000  6 S 3.00-3.01
Ac 0.0000 0.5000 0.0000  6 S 3.00-3.01
Ac 0.5000 0.0000 0.0000  6 S 3.00-3.01
Nd 0.5000 0.5000 0.5000  6 S 2.91
S 0.2349 0.2349 0.2349  3 Ac 3.00
S 0.2434 0.7284 0.7284  1 Nd 2.91, 2 Ac 3.01
S 0.2716 0.2716 0.7566  1 Nd 2.91, 2 Ac 3.01
S 0.2716 0.7566 0.2716  1 Nd 2.91, 2 Ac 3.01
S 0.7284 0.2434 0.7284  1 Nd 2.91, 2 Ac 3.01
S 0.7284 0.7284 0.2434  1 Nd 2.91, 2 Ac 3.01
S 0.7566 0.2716 0.2716  1 Nd 2.91, 2 Ac 3.01
S 0.7651 0.7651 0.7651  3 Ac 3.00

=====

First-principles (PBE-GGA) data for crystalline SrZrZn2 at its relaxed geometry, as listed in the Alexandria database.

## Properties
space group = I-4m2 (119)
DFT formation energy = 231 meV/atom
total magnetization = 0.00 μB/f.u.
V = 92.4 Å³ per cell

a = 5.8958 Å, b = 5.8958 Å, c = 5.8958 Å
α = 137.50°, β = 137.50°, γ = 61.66°
With the nearest neighbours (Å) after each atom.
Positions (direct):
Sr 0.0000 0.0000 0.0000  8 Zn 3.02-3.31, 4 Zr 3.31
Zr 0.7500 0.2500 0.5000  8 Zn 3.02-3.31, 4 Sr 3.31
Zn 0.2500 0.7500 0.5000  4 Zr 3.02, 4 Sr 3.31, 4 Zn 3.31
Zn 0.5000 0.5000 0.0000  4 Sr 3.02, 4 Zr 3.31, 4 Zn 3.31

=====

First-principles (PBE-GGA) data for crystalline LaTiIn3 at its relaxed geometry, as listed in the Alexandria database.

## Properties
ΔE to the lowest computed polymorph = 1.320 eV per atom
space group = Pm-3m (221)
DFT formation energy = 1280 meV/atom
total magnetization = 0.00 μB/f.u.
V = 197.8 Å³ per cell

a = 5.8267 Å, b = 5.8267 Å, c = 5.8267 Å
α = 90.00°, β = 90.00°, γ = 90.00°
With the nearest neighbours (Å) after each atom.
Positions (direct):
La 0.0000 0.0000 0.0000  6 In 2.91
Ti 0.5000 0.5000 0.5000  12 In 4.12
In 0.0000 0.0000 0.5000  2 La 2.91
In 0.0000 0.5000 0.0000  2 La 2.91
In 0.5000 0.0000 0.0000  2 La 2.91

=====

What DFT total energy values result from the calculations? In sequence: -3.28; -3.24; -8.93; -3.68; -4.05; -5.23; -2.96; -2.93 eV/atom.